The following is a DFT calculation (PBE) of a relaxed structure of Sr2YAl7Ag2.

Values from the calculation:
The value obtained for the total magnetization is 0.0 μB/cell. As for the symmetry: R-3m. The value obtained for the total energy is -3.76 eV/atom.

Unit cell a=9.635 b=9.635 c=9.635 alpha=34.33 beta=34.33 gamma=34.33
Sites, in units of the cell vectors:
Al1 0.074 0.583 0.583
Al2 0.583 0.074 0.583
Al3 0.500 0.500 0.500
Al4 0.417 0.926 0.417
Al5 0.417 0.417 0.926
Al6 0.583 0.583 0.074
Al7 0.926 0.417 0.417
Y1 0.000 0.000 0.000
Sr1 0.857 0.857 0.857
Sr2 0.143 0.143 0.143
Ag1 0.336 0.336 0.336
Ag2 0.664 0.664 0.664

The following is a DFT calculation (PBE) of a relaxed structure of TaAlAg.

Values from the calculation:
The value obtained for the total magnetization is 0.1 μB/cell. For the energy above the lowest structure with this stoichiometry, the calculation gives 0.00 eV/f.u. As for the symmetry: F-43m. The value obtained for the total energy is -5.54 eV/atom.

Unit cell a=4.349 b=4.349 c=4.349 alpha=60.00 beta=60.00 gamma=60.00
Sites, in units of the cell vectors:
Ta1 0.750 0.750 0.750
Al1 0.250 0.250 0.250
Ag1 0.000 0.000 0.000

The following is a DFT calculation (PBE) of a relaxed structure of TaAlAg2.

Values from the calculation:
The value obtained for the total magnetization is 0.0 μB/cell. As for the symmetry: F-43m. The value obtained for the total energy is -5.01 eV/atom.

Unit cell a=4.591 b=4.591 c=4.591 alpha=60.00 beta=60.00 gamma=60.00
Sites, in units of the cell vectors:
Ag1 0.000 0.000 0.000
Ag2 0.750 0.750 0.750
Ta1 0.250 0.250 0.250
Al1 0.500 0.500 0.500

The following is a DFT calculation (PBE) of a relaxed structure of TbAl4Ag8.

Values from the calculation:
The value obtained for the total magnetization is 0.0 μB/cell. As for the symmetry: I4/mmm. The value obtained for the total energy is -3.46 eV/atom.

Unit cell a=7.100 b=7.100 c=7.100 alpha=98.21 beta=98.21 gamma=135.58
Sites, in units of the cell vectors:
Al1 0.000 0.500 0.000
Al2 0.500 0.500 0.500
Al3 0.500 0.000 0.000
Al4 0.000 0.000 0.500
Tb1 0.000 0.000 0.000
Ag1 0.284 0.500 0.784
Ag2 0.342 0.000 0.342
Ag3 0.716 0.500 0.216
Ag4 0.500 0.284 0.784
Ag5 0.658 0.000 0.658
Ag6 0.500 0.716 0.216
Ag7 0.000 0.342 0.342
Ag8 0.000 0.658 0.658

The following is a DFT calculation (PBE) of a relaxed structure of TbAl2Ag2.

Values from the calculation:
The value obtained for the total magnetization is 0.0 μB/cell. As for the symmetry: I4/mmm. The value obtained for the total energy is -3.85 eV/atom.

Unit cell a=6.478 b=6.478 c=6.478 alpha=142.36 beta=142.36 gamma=54.28
Sites, in units of the cell vectors:
Al1 0.250 0.750 0.500
Al2 0.750 0.250 0.500
Ag1 0.384 0.384 0.000
Ag2 0.616 0.616 0.000
Tb1 0.000 0.000 0.000

The following is a DFT calculation (PBE) of a relaxed structure of TbAl6Ag.

Values from the calculation:
The value obtained for the total magnetization is 0.0 μB/cell. As for the symmetry: P-6m2. The value obtained for the total energy is -3.85 eV/atom.

Unit cell a=6.117 b=6.117 c=4.618 alpha=90.00 beta=90.00 gamma=120.00
Sites, in units of the cell vectors:
Al1 0.516 0.484 0.000
Al2 0.339 0.169 0.500
Al3 0.831 0.169 0.500
Al4 0.516 0.031 0.000
Al5 0.831 0.661 0.500
Al6 0.969 0.484 0.000
Tb1 0.333 0.667 0.500
Ag1 0.000 0.000 0.000